This record from the Alexandria database describes a relaxed structure of MnMoPd. The functional is PBE.

Results
The energy relative to the lowest polymorph listed for this composition comes out at 50 meV per atom. As for the mass density: 9.6 g/cm3. Its energy relative to the elements is 13 kJ/mol of formula units.

Geometry as POSCAR:
```
MnMoPd
1.0
2.732 0.000 0.000
0.000 2.732 0.000
-1.366 -1.366 5.960
Mn Mo Pd
1 1 1
Cartesian
0.000 0.000 3.965
1.366 1.366 5.934
1.366 1.366 2.021
```

This record from the Alexandria database describes a relaxed structure of MnMoPd6. The functional is PBE.

Results
As for the mass density: 10.8 g/cm3. Its energy relative to the elements is -121 kJ/mol of formula units.

Geometry as POSCAR:
```
MnMoPd6
1.0
3.934 0.000 0.000
0.000 3.934 0.000
0.000 0.000 7.873
Pd Mo Mn
6 1 1
Cartesian
1.967 0.000 2.010
1.967 1.967 3.936
0.000 1.967 2.010
0.000 1.967 5.863
1.967 1.967 0.000
1.967 0.000 5.863
0.000 0.000 3.936
0.000 0.000 0.000
```

This record from the Alexandria database describes a relaxed structure of Mn3MoPd12. The functional is PBE.

Results
As for the mass density: 10.5 g/cm3. Its energy relative to the elements is -291 kJ/mol of formula units.

Geometry as POSCAR:
```
Mn3MoPd12
1.0
3.930 0.000 0.000
0.000 3.930 0.000
0.000 0.000 15.696
Pd Mn Mo
12 3 1
Cartesian
0.000 1.965 9.804
1.965 0.000 13.776
1.965 1.965 7.848
0.000 1.965 1.919
0.000 1.965 5.891
1.965 1.965 3.907
1.965 1.965 0.000
1.965 1.965 11.789
1.965 0.000 1.919
1.965 0.000 5.891
1.965 0.000 9.804
0.000 1.965 13.776
0.000 0.000 7.848
0.000 0.000 11.700
0.000 0.000 3.996
0.000 0.000 0.000
```

This record from the Alexandria database describes a relaxed structure of Mn2MoPd8. The functional is PBE.

Results
As for the mass density: 10.1 g/cm3. Its energy relative to the elements is -9 kJ/mol of formula units.

Geometry as POSCAR:
```
Mn2MoPd8
1.0
4.091 0.230 -0.151
-0.432 6.265 -2.141
0.222 0.372 6.621
Pd Mn Mo
8 2 1
Cartesian
3.831 6.496 2.407
-0.122 1.918 -0.377
2.105 1.949 4.371
1.976 2.324 1.416
0.050 0.371 1.922
1.776 4.918 -0.042
1.904 4.543 2.913
4.002 4.950 4.707
-0.185 4.043 1.163
-0.025 2.595 3.317
2.045 0.115 -0.075
```